The following is a PBE calculation of crystalline Cs2RbSn at its relaxed geometry, from Alexandria.

The formation energy comes out at 167 meV per atom. For the density of states at the Fermi level, the calculation gives 22.09 states/eV per cell. Its total magnetization is 2.020 μB/cell.

It has space group I-42d (No. 122), with a = 5.9146 Å, b = 5.9146 Å, c = 27.7424 Å, α = 90.00°, β = 90.00° and γ = 90.00°. The asymmetric unit holds Cs at (0.2349, 0.2500, 0.1250), Rb at (0.0000, 0.0000, 0.5000) and Sn at (0.0000, 0.0000, 0.0000).

***

The following is a PBE calculation of crystalline Cs2RbSn2 at its relaxed geometry, from Alexandria.

The formation energy comes out at -104 meV per atom. For the energy above the most stable polymorph in this dataset, the calculation gives 0.040 eV per atom. For the density of states at the Fermi level, the calculation gives 10.06 states/eV per cell. Its total magnetization is 0.000 μB/cell.

It has space group P4/mbm (No. 127), with a = 9.7513 Å, b = 9.7513 Å, c = 5.9463 Å, α = 90.00°, β = 90.00° and γ = 90.00°. The asymmetric unit holds Cs at (0.1799, 0.3201, 0.0000), Rb at (0.0000, 0.0000, 0.5000) and Sn at (0.0991, 0.5991, 0.5000).